A plane-wave DFT calculation with PBE was carried out for crystalline SrTi2ReGe at its relaxed geometry.

Calculated values
SG: P4/mmm, No. 123

Cell lengths 4.752, 4.752, 5.880 Å; angles 90.00, 90.00, 90.00 degrees
Element x y z (fractional)
Sr 0.000 0.000 0.000
Ti 0.000 0.500 0.500
Ti 0.500 0.000 0.500
Re 0.000 0.000 0.500
Ge 0.500 0.500 0.000

***

A plane-wave DFT calculation with PBE was carried out for crystalline Sr2YReGe at its relaxed geometry.

Calculated values
SG: P4/mmm, No. 123

Cell lengths 5.767, 5.767, 5.256 Å; angles 90.00, 90.00, 90.00 degrees
Element x y z (fractional)
Sr 0.000 0.500 0.000
Sr 0.500 0.000 0.000
Y 0.000 0.000 0.500
Re 0.000 0.000 0.000
Ge 0.500 0.500 0.500

***

A plane-wave DFT calculation with PBE was carried out for crystalline TaRe2Ge at its relaxed geometry.

Calculated values
SG: P4/mmm, No. 123

Cell lengths 4.388, 4.388, 3.233 Å; angles 90.00, 90.00, 90.00 degrees
Element x y z (fractional)
Ta 0.000 0.000 0.000
Re 0.000 0.500 0.500
Re 0.500 0.000 0.500
Ge 0.500 0.500 0.000

***

A plane-wave DFT calculation with PBE was carried out for crystalline TaRe2Ge at its relaxed geometry.

Calculated values
SG: I-42d, No. 122

Cell lengths 5.776, 5.776, 5.776 Å; angles 101.73, 101.73, 126.39 degrees
Element x y z (fractional)
Ta 0.000 0.000 0.000
Ta 0.750 0.250 0.500
Re 0.178 0.125 0.553
Re 0.375 0.822 0.947
Re 0.572 0.625 0.447
Re 0.875 0.428 0.053
Ge 0.250 0.750 0.500
Ge 0.500 0.500 0.000

***

A plane-wave DFT calculation with PBE was carried out for crystalline TaRe3Ge at its relaxed geometry.

Calculated values
Energy above the lowest structure with this stoichiometry: 0.000 eV per atom
SG: Pm-3m, No. 221

Cell lengths 4.489, 4.489, 4.489 Å; angles 90.00, 90.00, 90.00 degrees
Element x y z (fractional)
Ta 0.000 0.000 0.000
Re 0.000 0.500 0.500
Re 0.500 0.000 0.500
Re 0.500 0.500 0.000
Ge 0.500 0.500 0.500

***

A plane-wave DFT calculation with PBE was carried out for crystalline TaRe3Ge at its relaxed geometry.

Calculated values
Energy above the lowest structure with this stoichiometry: 0.961 eV per atom
SG: Pm-3m, No. 221

Cell lengths 4.810, 4.810, 4.810 Å; angles 90.00, 90.00, 90.00 degrees
Element x y z (fractional)
Ta 0.000 0.000 0.000
Re 0.000 0.000 0.500
Re 0.000 0.500 0.000
Re 0.500 0.000 0.000
Ge 0.500 0.500 0.500

***

A plane-wave DFT calculation with PBE was carried out for crystalline Ta2ReGe2 at its relaxed geometry.

Calculated values
Energy above the lowest structure with this stoichiometry: 0.187 eV per atom
SG: I4/mmm, No. 139

Cell lengths 7.844, 7.844, 7.844 Å; angles 155.01, 155.01, 35.64 degrees
Element x y z (fractional)
Ta 0.103 0.103 0.000
Ta 0.897 0.897 0.000
Re 0.500 0.500 0.000
Ge 0.250 0.750 0.500
Ge 0.750 0.250 0.500

***

A plane-wave DFT calculation with PBE was carried out for crystalline TaReGe at its relaxed geometry.

Calculated values
Energy above the lowest structure with this stoichiometry: 0.132 eV per atom
SG: P3m1, No. 156

Cell lengths 4.444, 4.444, 2.833 Å; angles 90.00, 90.00, 120.00 degrees
Element x y z (fractional)
Ta 0.000 0.000 0.000
Re 0.667 0.333 0.548
Ge 0.333 0.667 0.531

***

A plane-wave DFT calculation with PBE was carried out for crystalline Ta2ReGe2 at its relaxed geometry.

Calculated values
Energy above the lowest structure with this stoichiometry: 0.000 eV per atom
SG: P4/mbm, No. 127

Cell lengths 6.405, 6.405, 3.996 Å; angles 90.00, 90.00, 90.00 degrees
Element x y z (fractional)
Ta 0.164 0.336 0.000
Ta 0.336 0.836 0.000
Ta 0.664 0.164 0.000
Ta 0.836 0.664 0.000
Re 0.000 0.000 0.500
Re 0.500 0.500 0.500
Ge 0.140 0.640 0.500
Ge 0.360 0.140 0.500
Ge 0.640 0.860 0.500
Ge 0.860 0.360 0.500

***

A plane-wave DFT calculation with PBE was carried out for crystalline TaReGe at its relaxed geometry.

Calculated values
Energy above the lowest structure with this stoichiometry: 0.000 eV per atom
SG: Ima2, No. 46

Cell lengths 7.658, 7.658, 7.658 Å; angles 123.83, 80.76, 127.14 degrees
Element x y z (fractional)
Ta 0.002 0.250 0.252
Ta 0.414 0.386 0.528
Ta 0.423 0.865 0.059
Ta 0.806 0.365 0.941
Ta 0.859 0.886 0.472
Ta 0.998 0.750 0.748
Re 0.159 0.327 0.915
Re 0.159 0.743 0.332
Re 0.411 0.243 0.085
Re 0.411 0.827 0.668
Re 0.662 0.162 0.500
Re 0.662 0.662 0.000
Ge 0.082 0.420 0.673
Ge 0.082 0.909 0.162
Ge 0.366 0.152 0.714
Ge 0.438 0.652 0.286
Ge 0.747 0.409 0.327
Ge 0.747 0.920 0.838

***

A plane-wave DFT calculation with PBE was carried out for crystalline Ta2ReGe2 at its relaxed geometry.

Calculated values
Energy above the lowest structure with this stoichiometry: 0.499 eV per atom
SG: P4/mbm, No. 127

Cell lengths 7.096, 7.096, 3.449 Å; angles 90.00, 90.00, 90.00 degrees
Element x y z (fractional)
Ta 0.141 0.359 0.000
Ta 0.359 0.859 0.000
Ta 0.641 0.141 0.000
Ta 0.859 0.641 0.000
Re 0.000 0.000 0.000
Re 0.500 0.500 0.000
Ge 0.162 0.662 0.500
Ge 0.338 0.162 0.500
Ge 0.662 0.838 0.500
Ge 0.838 0.338 0.500

***

A plane-wave DFT calculation with PBE was carried out for crystalline TaReGe2W at its relaxed geometry.

Calculated values
SG: P4/mmm, No. 123

Cell lengths 4.659, 4.659, 5.069 Å; angles 90.00, 90.00, 90.00 degrees
Element x y z (fractional)
Ta 0.000 0.000 0.000
Re 0.000 0.000 0.500
Ge 0.000 0.500 0.500
Ge 0.500 0.000 0.500
W 0.500 0.500 0.000

***

Number 1: ΔH_f (0 K) 3.84 eV per formula unit, total magnetization 0.0 Bohr magnetons per cell. Number 2: ΔH_f (0 K) 3.36 eV per formula unit, total magnetization 1.3 Bohr magnetons per cell. Number 3: ΔH_f (0 K) -0.01 eV per formula unit, total magnetization 0.0 Bohr magnetons per cell. Number 4: ΔH_f (0 K) 3.36 eV per formula unit, total magnetization 0.0 Bohr magnetons per cell. Number 5: ΔH_f (0 K) 7.09 eV per formula unit, total magnetization 0.0 Bohr magnetons per cell. Number 6: ΔH_f (0 K) 11.90 eV per formula unit, total magnetization 2.7 Bohr magnetons per cell. Number 7: ΔH_f (0 K) 0.70 eV per formula unit, total magnetization 0.0 Bohr magnetons per cell. Number 8: ΔH_f (0 K) -0.15 eV per formula unit, total magnetization 0.0 Bohr magnetons per cell. Number 9: ΔH_f (0 K) -0.23 eV per formula unit, total magnetization 0.0 Bohr magnetons per cell. Number 10: ΔH_f (0 K) -0.55 eV per formula unit, total magnetization 0.0 Bohr magnetons per cell. Number 11: ΔH_f (0 K) 2.26 eV per formula unit, total magnetization 0.0 Bohr magnetons per cell. Number 12: ΔH_f (0 K) 7.60 eV per formula unit, total magnetization 2.9 Bohr magnetons per cell.